# TlCdNO PBE relaxed
# calculated density: 8.42 g/cm³
# calculated volume: 273.45 Å³/cell
# crystal system: orthorhombic
# total energy: -4.171 eV/atom
data_TlCdNO
_chemical_formula_sum 'Tl4 Cd4 N4 O4'
_cell_length_a 6.323
_cell_length_b 7.371
_cell_length_c 5.868
_cell_angle_alpha 90.00
_cell_angle_beta 90.00
_cell_angle_gamma 90.00
_symmetry_space_group_name_H-M 'P c a 21'
_symmetry_Int_Tables_number 29
loop_
_symmetry_equiv_pos_as_xyz
'x,y,z'
'-x,-y,z+1/2'
'-x+1/2,y,z+1/2'
'x+1/2,-y,z'
loop_
_atom_site_label
_atom_site_fract_x
_atom_site_fract_y
_atom_site_fract_z
_atom_site_occupancy
Tl1 0.088 0.118 0.000 1
Cd1 0.087 0.626 0.995 1
N1 0.080 0.130 0.622 1
O1 0.078 0.625 0.611 1

---

# TlCdNO PBE relaxed
# calculated density: 8.32 g/cm³
# calculated volume: 276.85 Å³/cell
# crystal system: orthorhombic
# total energy: -4.068 eV/atom
data_TlCdNO
_chemical_formula_sum 'Tl4 Cd4 N4 O4'
_cell_length_a 6.281
_cell_length_b 7.503
_cell_length_c 5.875
_cell_angle_alpha 90.00
_cell_angle_beta 90.00
_cell_angle_gamma 90.00
_symmetry_space_group_name_H-M 'P c a 21'
_symmetry_Int_Tables_number 29
loop_
_symmetry_equiv_pos_as_xyz
'x,y,z'
'-x,-y,z+1/2'
'-x+1/2,y,z+1/2'
'x+1/2,-y,z'
loop_
_atom_site_label
_atom_site_fract_x
_atom_site_fract_y
_atom_site_fract_z
_atom_site_occupancy
Tl1 0.070 0.146 0.000 1
Cd1 0.088 0.616 0.009 1
N1 0.081 0.625 0.634 1
O1 0.084 0.113 0.613 1